# 1
Computed, not measured: KYRuN2 after structural relaxation at the PBE-GGA level of DFT.

abc: 4.6822 4.6822 5.2604
angles: 90.00 90.00 90.00
Sites, in units of the cell vectors:
1 K 0.0000 0.0000 0.0000
2 Y 0.5000 0.5000 0.5000
3 Ru 0.5000 0.5000 0.0000
4 N 0.0000 0.5000 0.5000
5 N 0.5000 0.0000 0.5000

Properties
Calculated volume (Å³/f.u.): 115.3
Theoretical density (g cm⁻³): 3.70
ΔE_f (raw) (eV per formula unit): 6.70
M_tot (μB/atom): 0.974
Total DFT energy (no corrections) (eV per atom): -5.36
Space-group type: No. 123
Fermi-level density of states (states/eV/f.u.): 6.6

# 2
Computed, not measured: KS3N after structural relaxation at the PBE-GGA level of DFT.

abc: 6.1962 6.1962 6.1962
angles: 90.00 90.00 90.00
Sites, in units of the cell vectors:
1 K 0.0000 0.0000 0.0000
2 S 0.0000 0.0000 0.5000
3 S 0.0000 0.5000 0.0000
4 S 0.5000 0.0000 0.0000
5 N 0.5000 0.5000 0.5000

Properties
Calculated volume (Å³/f.u.): 237.9
Theoretical density (g cm⁻³): 1.04
ΔE_f (raw) (eV per formula unit): 10.15
M_tot (μB/atom): 1.600
Total DFT energy (no corrections) (eV per atom): -2.33
Space-group type: No. 221
Fermi-level density of states (states/eV/f.u.): 4.5

# 3
Computed, not measured: KSN after structural relaxation at the PBE-GGA level of DFT.

abc: 5.7531 3.1548 6.7001
angles: 90.00 90.00 90.00
Sites, in units of the cell vectors:
1 K 0.2500 0.0000 0.2314
2 K 0.7500 0.0000 0.7686
3 S 0.2500 0.5000 0.6911
4 S 0.7500 0.5000 0.3089
5 N 0.2500 0.0000 0.8195
6 N 0.7500 0.0000 0.1805

Properties
Calculated volume (Å³/f.u.): 60.8
Theoretical density (g cm⁻³): 2.33
ΔE_f (raw) (eV per formula unit): 0.48
M_tot (μB/atom): 0.000
Total DFT energy (no corrections) (eV per atom): -4.36
Space-group type: No. 51
Fermi-level density of states (states/eV/f.u.): 1.0

# 4
Computed, not measured: KS3N after structural relaxation at the PBE-GGA level of DFT.

abc: 4.3820 4.3820 4.3820
angles: 90.00 90.00 90.00
Sites, in units of the cell vectors:
1 K 0.0000 0.0000 0.0000
2 S 0.0000 0.5000 0.5000
3 S 0.5000 0.0000 0.5000
4 S 0.5000 0.5000 0.0000
5 N 0.5000 0.5000 0.5000

Properties
Calculated volume (Å³/f.u.): 84.1
Theoretical density (g cm⁻³): 2.95
ΔE_f (raw) (eV per formula unit): 3.96
M_tot (μB/atom): 0.000
Total DFT energy (no corrections) (eV per atom): -3.57
Space-group type: No. 221
Fermi-level density of states (states/eV/f.u.): 2.7

# 5
Computed, not measured: KSN after structural relaxation at the PBE-GGA level of DFT.

abc: 4.2656 4.2870 7.6532
angles: 79.86 79.64 88.21
Sites, in units of the cell vectors:
1 K 0.2045 0.2058 0.1761
2 K 0.7955 0.7942 0.8239
3 S 0.3243 0.3235 0.5979
4 S 0.6757 0.6765 0.4021
5 N 0.3172 0.3152 0.8027
6 N 0.6828 0.6848 0.1973

Properties
Calculated volume (Å³/f.u.): 67.8
Theoretical density (g cm⁻³): 2.09
ΔE_f (raw) (eV per formula unit): -0.23
M_tot (μB/atom): 0.000
Total DFT energy (no corrections) (eV per atom): -4.59
Space-group type: No. 2

# 6
Computed, not measured: K2SN2 after structural relaxation at the PBE-GGA level of DFT.

abc: 7.3236 7.3236 8.6342
angles: 100.75 100.75 40.05
Sites, in units of the cell vectors:
1 K 0.1588 0.6611 0.8878
2 K 0.3389 0.8412 0.6122
3 K 0.6611 0.1588 0.3878
4 K 0.8412 0.3389 0.1122
5 S 0.2523 0.7477 0.2500
6 S 0.7477 0.2523 0.7500
7 N 0.1044 0.4204 0.4727
8 N 0.4204 0.1044 0.9727
9 N 0.5796 0.8956 0.0273
10 N 0.8956 0.5796 0.5273

Properties
Calculated volume (Å³/f.u.): 146.0
Theoretical density (g cm⁻³): 1.57
ΔE_f (raw) (eV per formula unit): -2.85
M_tot (μB/atom): 0.012
Total DFT energy (no corrections) (eV per atom): -5.16
Space-group type: No. 15

# 7
Computed, not measured: K3SN after structural relaxation at the PBE-GGA level of DFT.

abc: 5.2499 5.2499 5.2499
angles: 90.00 90.00 90.00
Sites, in units of the cell vectors:
1 K 0.0000 0.0000 0.5000
2 K 0.0000 0.5000 0.0000
3 K 0.5000 0.0000 0.0000
4 S 0.5000 0.5000 0.5000
5 N 0.0000 0.0000 0.0000

Properties
Calculated volume (Å³/f.u.): 144.7
Theoretical density (g cm⁻³): 1.87
ΔE_f (raw) (eV per formula unit): 0.78
M_tot (μB/atom): 0.000
Total DFT energy (no corrections) (eV per atom): -2.99
Space-group type: No. 221
Fermi-level density of states (states/eV/f.u.): 12.5

# 8
Computed, not measured: K4SN12 after structural relaxation at the PBE-GGA level of DFT.

abc: 8.1165 8.1165 8.1165
angles: 109.47 109.47 109.47
Sites, in units of the cell vectors:
1 K 0.0000 0.0000 0.5000
2 K 0.0000 0.5000 0.0000
3 K 0.5000 0.0000 0.0000
4 K 0.5000 0.5000 0.5000
5 S 0.0000 0.0000 0.0000
6 N 0.2129 0.7735 0.4394
7 N 0.2265 0.4394 0.6658
8 N 0.2265 0.5606 0.7871
9 N 0.3342 0.7735 0.5606
10 N 0.4394 0.2129 0.7735
11 N 0.4394 0.6658 0.2265
12 N 0.5606 0.3342 0.7735
13 N 0.5606 0.7871 0.2265
14 N 0.6658 0.2265 0.4394
15 N 0.7735 0.4394 0.2129
16 N 0.7735 0.5606 0.3342
17 N 0.7871 0.2265 0.5606

Properties
Calculated volume (Å³/f.u.): 411.6
Theoretical density (g cm⁻³): 1.44
ΔE_f (raw) (eV per formula unit): -2.07
M_tot (μB/atom): 0.000
Total DFT energy (no corrections) (eV per atom): -6.50
Space-group type: No. 204
Fermi-level density of states (states/eV/f.u.): 5.6